one) Lu2CdPt | PBE-GGA | relaxed

a = 3.9299 Å, b = 3.9299 Å, c = 23.3963 Å
α = 90.00°, β = 90.00°, γ = 120.00°
Space group R-3m (No. 166, hexagonal axes)
Asymmetric unit:
Lu 0.0000 0.0000 0.2334 (multiplicity 6)
Cd 0.0000 0.0000 0.0000 (multiplicity 3)
Pt 0.0000 0.0000 0.5000 (multiplicity 3)

- Fermi-level density of states (states/eV/cell) = 8.86

two) Lu2CdPt | PBE-GGA | relaxed

a = 7.060 Å, b = 7.060 Å, c = 7.060 Å
α = 90.00°, β = 90.00°, γ = 90.00°
Space group Fm-3m (No. 225)
Asymmetric unit:
Lu 0.250 0.250 0.250 (multiplicity 8)
Cd 0.000 0.000 0.000 (multiplicity 4)
Pt 0.000 0.000 0.500 (multiplicity 4)

- Fermi-level density of states (states/eV/cell) = 6.52

What is the stability order? It is two), one), from most stable to least stable.

one) Lu2PuCd | PBE-GGA | relaxed

a = 5.398 Å, b = 5.398 Å, c = 3.566 Å
α = 90.00°, β = 90.00°, γ = 90.00°
Space group P4/mmm (No. 123)
Asymmetric unit:
Lu 0.000 0.500 0.000 (multiplicity 2)
Pu 0.000 0.000 0.500 (multiplicity 1)
Cd 0.500 0.500 0.500 (multiplicity 1)

- Fermi-level density of states (states/eV/cell) = 8.81

two) Lu2PuCd | PBE-GGA | relaxed

a = 7.519 Å, b = 7.519 Å, c = 7.519 Å
α = 90.00°, β = 90.00°, γ = 90.00°
Space group Fm-3m (No. 225)
Asymmetric unit:
Lu 0.250 0.250 0.250 (multiplicity 8)
Pu 0.000 0.000 0.000 (multiplicity 4)
Cd 0.000 0.000 0.500 (multiplicity 4)

- Fermi-level density of states (states/eV/cell) = 47.38

What is the stability order? It is one), two), from most stable to least stable.